The following is a GGA-PBE calculation of ZrMo2Rh2 after structural relaxation, from the Alexandria database.

Properties
Formation energy from the elements   -0.59 eV per formula unit
Density of states at the Fermi level   4.1 states/eV/f.u.

abc: 7.748 7.748 2.777
angles: 90.00 90.00 90.00
Element x y z (fractional)
Zr 0.000 0.000 0.000
Zr 0.500 0.500 0.000
Mo 0.119 0.381 0.000
Mo 0.381 0.881 0.000
Mo 0.619 0.119 0.000
Mo 0.881 0.619 0.000
Rh 0.175 0.675 0.500
Rh 0.325 0.175 0.500
Rh 0.675 0.825 0.500
Rh 0.825 0.325 0.500

The following is a GGA-PBE calculation of ZrMoRh2 after structural relaxation, from the Alexandria database.

Properties
Formation energy from the elements   -1.02 eV per formula unit
Density of states at the Fermi level   4.7 states/eV/f.u.

abc: 5.015 5.015 5.015
angles: 133.52 133.52 67.84
Element x y z (fractional)
Zr 0.000 0.000 0.000
Mo 0.750 0.250 0.500
Rh 0.250 0.750 0.500
Rh 0.500 0.500 0.000

The following is a GGA-PBE calculation of ZrMoRh after structural relaxation, from the Alexandria database.

Properties
Formation energy from the elements   -0.04 eV per formula unit
Density of states at the Fermi level   4.0 states/eV/f.u.

abc: 4.598 4.598 2.811
angles: 90.00 90.00 120.00
Element x y z (fractional)
Zr 0.000 0.000 0.000
Mo 0.667 0.333 0.365
Rh 0.333 0.667 0.611

The following is a GGA-PBE calculation of ZrMoRh2 after structural relaxation, from the Alexandria database.

Properties
Formation energy from the elements   -1.01 eV per formula unit
Density of states at the Fermi level   3.5 states/eV/f.u.

abc: 3.303 3.303 6.119
angles: 90.00 90.00 90.00
Element x y z (fractional)
Zr 0.000 0.000 0.000
Mo 0.500 0.500 0.307
Rh 0.000 0.000 0.496
Rh 0.500 0.500 0.769

The following is a GGA-PBE calculation of ZrMo2Rh after structural relaxation, from the Alexandria database.

Properties
Formation energy from the elements   0.57 eV per formula unit
Density of states at the Fermi level   5.4 states/eV/f.u.

abc: 2.845 3.908 6.136
angles: 90.00 90.00 90.00
Element x y z (fractional)
Zr 0.000 0.000 0.000
Mo 0.500 0.500 0.282
Mo 0.500 0.500 0.718
Rh 0.000 0.000 0.500

The following is a GGA-PBE calculation of ZrMo2Rh after structural relaxation, from the Alexandria database.

Properties
Formation energy from the elements   1.48 eV per formula unit
Density of states at the Fermi level   2.9 states/eV/f.u.

abc: 5.932 5.932 5.932
angles: 100.80 100.80 128.70
Element x y z (fractional)
Zr 0.000 0.000 0.000
Zr 0.750 0.250 0.500
Mo 0.158 0.625 0.033
Mo 0.375 0.408 0.533
Mo 0.592 0.125 0.967
Mo 0.875 0.842 0.467
Rh 0.250 0.750 0.500
Rh 0.500 0.500 0.000

The following is a GGA-PBE calculation of ZrMo2Rh after structural relaxation, from the Alexandria database.

Properties
Formation energy from the elements   -0.20 eV per formula unit
Density of states at the Fermi level   3.8 states/eV/f.u.

abc: 2.836 2.836 8.844
angles: 90.00 90.00 109.32
Element x y z (fractional)
Zr 0.000 0.000 0.000
Mo 0.000 0.000 0.493
Mo 0.500 0.500 0.729
Rh 0.500 0.500 0.255

The following is a GGA-PBE calculation of ZrMo2Rh2 after structural relaxation, from the Alexandria database.

Properties
Formation energy from the elements   -0.60 eV per formula unit
Density of states at the Fermi level   3.6 states/eV/f.u.

abc: 7.682 7.682 2.811
angles: 90.00 90.00 90.00
Element x y z (fractional)
Zr 0.000 0.000 0.000
Zr 0.500 0.500 0.000
Mo 0.171 0.329 0.500
Mo 0.329 0.829 0.500
Mo 0.671 0.171 0.500
Mo 0.829 0.671 0.500
Rh 0.126 0.626 0.000
Rh 0.374 0.126 0.000
Rh 0.626 0.874 0.000
Rh 0.874 0.374 0.000

The following is a GGA-PBE calculation of ZrMoRh2 after structural relaxation, from the Alexandria database.

Properties
Formation energy from the elements   -1.40 eV per formula unit
Density of states at the Fermi level   3.8 states/eV/f.u.

abc: 4.818 4.818 2.909
angles: 90.00 90.00 106.64
Element x y z (fractional)
Zr 0.000 0.000 0.000
Mo 0.500 0.500 0.000
Rh 0.000 0.500 0.500
Rh 0.500 0.000 0.500

The following is a GGA-PBE calculation of ZrMoRh2 after structural relaxation, from the Alexandria database.

Properties
Formation energy from the elements   -0.60 eV per formula unit
Density of states at the Fermi level   4.7 states/eV/f.u.

abc: 4.881 4.881 4.919
angles: 100.54 100.54 34.69
Element x y z (fractional)
Zr 0.000 0.000 0.000
Mo 0.500 0.500 0.500
Rh 0.247 0.247 0.734
Rh 0.753 0.753 0.266

The following is a GGA-PBE calculation of ZrMoRh2 after structural relaxation, from the Alexandria database.

Properties
Formation energy from the elements   0.11 eV per formula unit
Density of states at the Fermi level   4.1 states/eV/f.u.

abc: 9.414 9.414 9.414
angles: 17.59 17.59 17.59
Element x y z (fractional)
Zr 0.000 0.000 0.000
Mo 0.761 0.761 0.761
Rh 0.251 0.251 0.251
Rh 0.501 0.501 0.501

The following is a GGA-PBE calculation of ZrMoRh2 after structural relaxation, from the Alexandria database.

Properties
Formation energy from the elements   -0.67 eV per formula unit
Density of states at the Fermi level   7.0 states/eV/f.u.

abc: 4.549 4.549 4.549
angles: 60.00 60.00 60.00
Element x y z (fractional)
Zr 0.000 0.000 0.000
Mo 0.500 0.500 0.500
Rh 0.250 0.250 0.250
Rh 0.750 0.750 0.750

The following is a GGA-PBE calculation of ZrMo2Rh after structural relaxation, from the Alexandria database.

Properties
Formation energy from the elements   0.36 eV per formula unit
Density of states at the Fermi level   5.8 states/eV/f.u.

abc: 4.446 4.446 3.392
angles: 90.00 90.00 90.00
Element x y z (fractional)
Zr 0.000 0.000 0.000
Mo 0.000 0.500 0.500
Mo 0.500 0.000 0.500
Rh 0.500 0.500 0.000

The following is a GGA-PBE calculation of ZrMo2Rh after structural relaxation, from the Alexandria database.

Properties
Formation energy from the elements   -0.11 eV per formula unit
Density of states at the Fermi level   3.7 states/eV/f.u.

abc: 2.804 4.733 5.151
angles: 90.00 100.97 90.00
Element x y z (fractional)
Zr 0.000 0.000 0.000
Mo 0.256 0.500 0.753
Mo 0.744 0.500 0.247
Rh 0.500 0.000 0.500

The following is a GGA-PBE calculation of ZrMoRh2 after structural relaxation, from the Alexandria database.

Properties
Formation energy from the elements   -0.73 eV per formula unit
Density of states at the Fermi level   2.1 states/eV/f.u.

abc: 4.512 4.512 4.512
angles: 60.00 60.00 60.00
Element x y z (fractional)
Zr 0.000 0.000 0.000
Mo 0.750 0.750 0.750
Rh 0.250 0.250 0.250
Rh 0.500 0.500 0.500

The following is a GGA-PBE calculation of ZrMoRh2 after structural relaxation, from the Alexandria database.

Properties
Formation energy from the elements   -1.38 eV per formula unit
Density of states at the Fermi level   3.9 states/eV/f.u.

abc: 4.843 4.843 4.843
angles: 130.07 130.07 73.29
Element x y z (fractional)
Zr 0.000 0.000 0.000
Mo 0.500 0.500 0.000
Rh 0.250 0.750 0.500
Rh 0.750 0.250 0.500

The following is a GGA-PBE calculation of ZrMoRh after structural relaxation, from the Alexandria database.

Properties
Formation energy from the elements   -0.35 eV per formula unit
Density of states at the Fermi level   4.0 states/eV/f.u.

abc: 5.319 5.319 5.319
angles: 143.82 143.82 52.10
Element x y z (fractional)
Zr 0.000 0.000 0.000
Mo 0.675 0.675 0.000
Rh 0.329 0.329 0.000

The following is a GGA-PBE calculation of ZrMo2Rh after structural relaxation, from the Alexandria database.

Properties
Formation energy from the elements   -0.23 eV per formula unit
Density of states at the Fermi level   4.1 states/eV/f.u.

abc: 5.377 5.377 2.813
angles: 99.69 99.69 119.35
Element x y z (fractional)
Zr 0.000 0.000 0.000
Mo 0.000 0.500 0.500
Mo 0.500 0.000 0.500
Rh 0.500 0.500 0.000

The following is a GGA-PBE calculation of ZrMoRh after structural relaxation, from the Alexandria database.

Properties
Formation energy from the elements   2.15 eV per formula unit
Density of states at the Fermi level   2.8 states/eV/f.u.

abc: 4.428 4.428 4.428
angles: 60.00 60.00 60.00
Element x y z (fractional)
Zr 0.000 0.000 0.000
Mo 0.250 0.250 0.250
Rh 0.750 0.750 0.750

The following is a GGA-PBE calculation of ZrMoRh2 after structural relaxation, from the Alexandria database.

Properties
Formation energy from the elements   -1.41 eV per formula unit
Density of states at the Fermi level   3.5 states/eV/f.u.

abc: 2.908 3.862 5.786
angles: 90.00 90.00 90.00
Element x y z (fractional)
Zr 0.000 0.000 0.000
Mo 0.000 0.000 0.500
Rh 0.500 0.500 0.265
Rh 0.500 0.500 0.735

The following is a GGA-PBE calculation of ZrMo2Rh after structural relaxation, from the Alexandria database.

Properties
Formation energy from the elements   0.18 eV per formula unit
Density of states at the Fermi level   3.6 states/eV/f.u.

abc: 2.783 2.783 8.722
angles: 90.00 90.00 90.00
Element x y z (fractional)
Zr 0.000 0.000 0.000
Mo 0.500 0.500 0.278
Mo 0.500 0.500 0.722
Rh 0.000 0.000 0.500

The following is a GGA-PBE calculation of ZrMo2Rh after structural relaxation, from the Alexandria database.

Properties
Formation energy from the elements   -0.15 eV per formula unit
Density of states at the Fermi level   3.6 states/eV/f.u.

abc: 5.362 5.362 5.362
angles: 137.97 137.97 60.94
Element x y z (fractional)
Zr 0.000 0.000 0.000
Mo 0.250 0.750 0.500
Mo 0.750 0.250 0.500
Rh 0.500 0.500 0.000

The following is a GGA-PBE calculation of ZrMo3Rh after structural relaxation, from the Alexandria database.

Properties
Formation energy from the elements   6.45 eV per formula unit
Density of states at the Fermi level   7.8 states/eV/f.u.

abc: 4.706 4.706 4.706
angles: 90.00 90.00 90.00
Element x y z (fractional)
Zr 0.000 0.000 0.000
Mo 0.000 0.500 0.500
Mo 0.500 0.000 0.500
Mo 0.500 0.500 0.000
Rh 0.500 0.500 0.500

The following is a GGA-PBE calculation of ZrMo2Rh after structural relaxation, from the Alexandria database.

Properties
Formation energy from the elements   -0.05 eV per formula unit
Density of states at the Fermi level   2.8 states/eV/f.u.

abc: 2.803 2.803 8.598
angles: 90.00 90.00 90.00
Element x y z (fractional)
Zr 0.000 0.000 0.000
Mo 0.000 0.000 0.539
Mo 0.500 0.500 0.281
Rh 0.500 0.500 0.749

The following is a GGA-PBE calculation of ZrMoRh2 after structural relaxation, from the Alexandria database.

Properties
Formation energy from the elements   -1.37 eV per formula unit
Density of states at the Fermi level   4.5 states/eV/f.u.

abc: 2.895 4.577 4.957
angles: 90.00 95.08 90.00
Element x y z (fractional)
Zr 0.000 0.000 0.000
Mo 0.838 0.500 0.380
Rh 0.440 0.000 0.504
Rh 0.452 0.500 0.862

The following is a GGA-PBE calculation of ZrMoRh2 after structural relaxation, from the Alexandria database.

Properties
Formation energy from the elements   -0.40 eV per formula unit
Density of states at the Fermi level   3.9 states/eV/f.u.

abc: 9.312 9.312 9.312
angles: 17.71 17.71 17.71
Element x y z (fractional)
Zr 0.000 0.000 0.000
Mo 0.500 0.500 0.500
Rh 0.245 0.245 0.245
Rh 0.755 0.755 0.755

The following is a GGA-PBE calculation of ZrMo2Rh after structural relaxation, from the Alexandria database.

Properties
Formation energy from the elements   0.55 eV per formula unit
Density of states at the Fermi level   6.1 states/eV/f.u.

abc: 4.550 4.550 4.550
angles: 60.00 60.00 60.00
Element x y z (fractional)
Zr 0.000 0.000 0.000
Mo 0.250 0.250 0.250
Mo 0.750 0.750 0.750
Rh 0.500 0.500 0.500

The following is a GGA-PBE calculation of ZrMo2Rh after structural relaxation, from the Alexandria database.

Properties
Formation energy from the elements   -0.28 eV per formula unit
Density of states at the Fermi level   4.5 states/eV/f.u.

abc: 5.247 5.247 5.247
angles: 143.51 126.87 66.17
Element x y z (fractional)
Zr 0.000 0.000 0.000
Mo 0.264 0.764 0.500
Mo 0.490 0.490 0.000
Rh 0.742 0.242 0.500

The following is a GGA-PBE calculation of ZrMo3Rh after structural relaxation, from the Alexandria database.

Properties
Formation energy from the elements   10.89 eV per formula unit
Density of states at the Fermi level   7.4 states/eV/f.u.

abc: 4.704 4.704 4.704
angles: 90.00 90.00 90.00
Element x y z (fractional)
Zr 0.000 0.000 0.000
Mo 0.000 0.000 0.500
Mo 0.000 0.500 0.000
Mo 0.500 0.000 0.000
Rh 0.500 0.500 0.500

The following is a GGA-PBE calculation of ZrMo2Rh after structural relaxation, from the Alexandria database.

Properties
Formation energy from the elements   -0.64 eV per formula unit
Density of states at the Fermi level   4.9 states/eV/f.u.

abc: 3.325 4.298 4.720
angles: 90.00 90.00 90.00
Element x y z (fractional)
Zr 0.000 0.000 0.000
Mo 0.000 0.500 0.500
Mo 0.500 0.000 0.500
Rh 0.500 0.500 0.000